No. 1
This record from the Open Quantum Materials Database describes a geometry-optimized Ba2ZnTcN6 structure. The functional is PBE.

Geometry as POSCAR:
```
Ba2ZnTcN6
1.0
5.707 0.527 -0.815
0.900 -1.021 5.626
-3.043 -3.764 -3.175
Ba N Tc Zn
2 6 1 1
direct
0.750 0.250 0.500
0.250 0.750 0.500
0.241 0.241 0.000
0.759 0.759 0.000
0.760 0.242 0.002
0.242 0.240 0.482
0.758 0.760 0.518
0.240 0.758 0.998
0.000 0.000 0.000
0.500 0.500 0.000
```

Computed properties:
SG = I4/m (87)



No. 2
This record from the Open Quantum Materials Database describes a geometry-optimized Ba2ZnTcN6 structure. The functional is PBE.

Geometry as POSCAR:
```
Ba2ZnTcN6
1.0
5.077 -2.746 -0.516
-0.956 -2.782 4.993
-3.903 -0.259 -4.276
Ba N Tc Zn
2 6 1 1
direct
0.750 0.250 0.500
0.250 0.750 0.500
0.240 0.240 0.000
0.759 0.241 0.000
0.241 0.759 0.000
0.760 0.760 0.000
0.241 0.241 0.483
0.759 0.759 0.517
0.000 0.000 0.000
0.500 0.500 0.000
```

Computed properties:
SG = I4/mmm (139)



No. 3
This record from the Open Quantum Materials Database describes a geometry-optimized Ba2ZnTcN6 structure. The functional is PBE.

Geometry as POSCAR:
```
Ba2ZnTcN6
1.0
-5.333 1.624 -1.544
0.813 -5.075 2.658
2.704 2.722 4.333
Ba N Tc Zn
2 6 1 1
direct
0.000 0.250 0.250
0.000 0.750 0.750
0.499 0.236 0.255
0.494 0.751 0.260
0.019 0.762 0.263
0.981 0.238 0.737
0.506 0.249 0.740
0.501 0.764 0.745
0.500 0.000 0.500
0.500 0.500 0.000
```

Computed properties:
SG = P-1 (2)



No. 4
This record from the Open Quantum Materials Database describes a geometry-optimized BaTmN3 structure. The functional is PBE.

Geometry as POSCAR:
```
BaTmN3
1.0
-4.167 5.288 0.015
-2.331 -1.842 1.875
4.492 -0.095 5.491
Ba N Tm
2 6 2
direct
0.215 0.750 0.399
0.785 0.250 0.601
0.059 0.250 0.047
0.578 0.750 0.210
0.800 0.750 0.315
0.200 0.250 0.685
0.422 0.250 0.790
0.941 0.750 0.953
0.733 0.250 0.069
0.267 0.750 0.931
```

Computed properties:
SG = P2_1/m (11)



No. 5
This record from the Open Quantum Materials Database describes a geometry-optimized Ba2UN4 structure. The functional is PBE.

Geometry as POSCAR:
```
Ba2UN4
1.0
-0.642 -2.651 5.137
3.221 1.222 1.034
-2.284 6.296 -0.326
Ba N U
2 4 1
direct
0.655 0.500 0.311
0.345 0.500 0.689
0.383 0.000 0.000
0.617 0.000 0.000
0.111 0.500 0.222
0.889 0.500 0.778
0.000 0.000 0.000
```

Computed properties:
SG = Cmmm (65)



No. 6
This record from the Open Quantum Materials Database describes a geometry-optimized Ba2ZrWN4 structure. The functional is PBE.

Geometry as POSCAR:
```
Ba2ZrWN4
1.0
-3.346 -0.302 2.316
-0.082 -4.029 -0.645
4.812 -1.186 6.795
Ba N W Zr
2 4 1 1
direct
0.000 0.000 0.173
0.500 0.500 0.867
0.500 0.500 0.199
0.500 0.000 0.469
0.000 0.500 0.469
0.000 0.000 0.820
0.500 0.500 0.422
0.000 0.000 0.582
```

Computed properties:
SG = P4mm (99)



No. 7
This record from the Open Quantum Materials Database describes a geometry-optimized BaZn2N2 structure. The functional is PBE.

Geometry as POSCAR:
```
BaZn2N2
1.0
3.640 0.000 0.000
-1.820 3.153 0.000
0.000 0.000 6.574
Ba N Zn
1 2 2
direct
0.000 0.000 0.000
0.333 0.667 0.292
0.667 0.333 0.708
0.667 0.333 0.380
0.333 0.667 0.620
```

Computed properties:
SG = P-3m1 (164)



No. 8
This record from the Open Quantum Materials Database describes a geometry-optimized Ba3ZrN3 structure. The functional is PBE.

Geometry as POSCAR:
```
Ba3ZrN3
1.0
-2.836 -7.852 1.023
0.076 -0.778 -5.760
8.275 1.503 -0.093
Ba N Zr
6 6 2
direct
0.249 0.250 0.101
0.852 0.250 0.251
0.601 0.750 0.352
0.399 0.250 0.648
0.148 0.750 0.749
0.751 0.750 0.899
0.235 0.750 0.129
0.894 0.750 0.265
0.629 0.250 0.394
0.371 0.750 0.606
0.106 0.250 0.735
0.765 0.250 0.871
0.167 0.750 0.333
0.833 0.250 0.667
```

Computed properties:
SG = P6_3/m (176)



Final energy (eV per atom)
-6.0639; -6.0639; -6.0633; -6.7798; -7.8183; -8.1832; -4.3448; -6.2517